# 1
Below is a geometry-optimized EuB2Rh structure, with properties calculated at the PBE level.

Properties
Fermi-level density of states (states/eV per atom): 0.84
E (Ha/atom): -0.290
M_tot (Bohr magnetons per cell): 21.634

Cell: 3.6808 3.6808 14.9487 Å, 90.00 90.00 120.00°
Space group R-3m (No. 166, hexagonal axes)
Symmetry-distinct sites (fractional):
Eu (0.0000, 0.0000, 0.0000) (multiplicity 3)
B (0.0000, 0.0000, 0.1924) (multiplicity 6)
Rh (0.0000, 0.0000, 0.5000) (multiplicity 3)

# 2
Below is a geometry-optimized EuBRh structure, with properties calculated at the PBE level.

Properties
Fermi-level density of states (states/eV per atom): 0.66
E (Ha/atom): -0.301
M_tot (Bohr magnetons per cell): 13.875

Cell: 2.9673 2.9673 10.6461 Å, 90.00 90.00 90.00°
Space group I4mm (No. 107)
Symmetry-distinct sites (fractional):
Eu (0.0000, 0.0000, 0.0000) (multiplicity 2)
B (0.0000, 0.0000, 0.7005) (multiplicity 2)
Rh (0.0000, 0.0000, 0.2731) (multiplicity 2)

# 3
Below is a geometry-optimized EuBRh3 structure, with properties calculated at the PBE level.

Properties
Fermi-level density of states (states/eV per atom): 2.95
E (Ha/atom): -0.304
M_tot (Bohr magnetons per cell): 5.876

Cell: 4.2510 4.2510 4.2510 Å, 90.00 90.00 90.00°
Space group Pm-3m (No. 221)
Symmetry-distinct sites (fractional):
Eu (0.0000, 0.0000, 0.0000) (multiplicity 1)
B (0.5000, 0.5000, 0.5000) (multiplicity 1)
Rh (0.0000, 0.5000, 0.5000) (multiplicity 3)

# 4
Below is a geometry-optimized EuBRu2 structure, with properties calculated at the PBE level.

Properties
Fermi-level density of states (states/eV per atom): 1.46
E (Ha/atom): -0.305
M_tot (Bohr magnetons per cell): 19.583

Cell: 4.9229 4.9229 10.5059 Å, 90.00 90.00 120.00°
Space group R-3m (No. 166, hexagonal axes)
Symmetry-distinct sites (fractional):
Eu (0.0000, 0.0000, 0.0000) (multiplicity 3)
B (0.0000, 0.0000, 0.5000) (multiplicity 3)
Ru (0.0000, 0.0000, 0.3189) (multiplicity 6)

Energy of formation from the pure elements: -14.4, -9.7, -45.4, 56.1 (kJ per mole of atoms)